This record from Alexandria via LeMat-Bulk describes PmNdGdHg after structural relaxation. The functional is PBE-GGA. Values from VASP.

Output
The energy is -0.222 hartree per atom. The density of states at the Fermi level is 6.559 states/eV per cell. As for the volume: 29.69 Å³ per atom.

Structure (Quantum ESPRESSO input):
```
&SYSTEM
  ibrav = 0, nat = 4, ntyp = 4
/
ATOMIC_SPECIES
Pm 145.00 Pm.upf
Nd 144.24 Nd.upf
Gd 157.25 Gd.upf
Hg 200.59 Hg.upf
CELL_PARAMETERS angstrom
0.0000 3.9015 3.9015
3.9015 0.0000 3.9015
3.9015 3.9015 0.0000
ATOMIC_POSITIONS crystal
Pm 0.0000 0.0000 0.0000
Nd 0.7500 0.7500 0.7500
Gd 0.2500 0.2500 0.2500
Hg 0.5000 0.5000 0.5000
```

---

This record from Alexandria via LeMat-Bulk describes SrHgBr4 after structural relaxation. The functional is PBE-GGA. Values from VASP.

Output
The density of states at the Fermi level is 0.000 states/eV per cell. For the uncorrected formation energy, the calculation gives -1241 meV per atom. As for the volume: 38.00 Å³ per atom.

Structure (Quantum ESPRESSO input):
```
&SYSTEM
  ibrav = 0, nat = 12, ntyp = 3
/
ATOMIC_SPECIES
Sr 87.62 Sr.upf
Hg 200.59 Hg.upf
Br 79.90 Br.upf
CELL_PARAMETERS angstrom
4.6192 -7.1095 0.0000
4.6192 7.1095 0.0000
-4.6035 0.0000 6.9426
ATOMIC_POSITIONS crystal
Sr 0.1251 0.8749 0.7500
Sr 0.8749 0.1251 0.2500
Hg 0.3772 0.6228 0.2500
Hg 0.6228 0.3772 0.7500
Br 0.1346 0.6011 0.3996
Br 0.2080 0.2322 0.1086
Br 0.2322 0.2080 0.6086
Br 0.3989 0.8654 0.1004
Br 0.6011 0.1346 0.8996
Br 0.7678 0.7920 0.3914
Br 0.7920 0.7678 0.8914
Br 0.8654 0.3989 0.6004
```

---

This record from Alexandria via LeMat-Bulk describes Mg7Si4 after structural relaxation. The functional is PBE-GGA. Values from VASP.

Output
The density of states at the Fermi level is 6.204 states/eV per cell. For the uncorrected formation energy, the calculation gives 16 meV per atom. As for the volume: 19.98 Å³ per atom.

Structure (Quantum ESPRESSO input):
```
&SYSTEM
  ibrav = 0, nat = 22, ntyp = 2
/
ATOMIC_SPECIES
Mg 24.30 Mg.upf
Si 28.09 Si.upf
CELL_PARAMETERS angstrom
5.3857 0.0000 0.0000
0.9816 6.1192 0.0000
1.9257 2.1006 13.3385
ATOMIC_POSITIONS crystal
Mg 0.0000 0.0000 0.0000
Mg 0.0035 0.0042 0.5381
Mg 0.1109 0.1019 0.7465
Mg 0.1278 0.4253 0.0653
Mg 0.1651 0.7260 0.3512
Mg 0.2625 0.5825 0.6910
Mg 0.3751 0.3538 0.5008
Mg 0.4437 0.9884 0.1472
Mg 0.4891 0.4174 0.2187
Mg 0.5126 0.2258 0.8891
Mg 0.6062 0.9702 0.3805
Mg 0.6100 0.6592 0.9980
Mg 0.7064 0.7587 0.7703
Mg 0.8309 0.5462 0.5611
Si 0.1009 0.1764 0.3359
Si 0.2254 0.7119 0.8771
Si 0.4978 0.9299 0.5886
Si 0.6230 0.1998 0.6799
Si 0.7565 0.4956 0.3655
Si 0.8759 0.6908 0.1960
Si 0.9100 0.0773 0.1971
Si 0.9838 0.4034 0.8809
```

---

This record from Alexandria via LeMat-Bulk describes TeBrN2 after structural relaxation. The functional is PBE-GGA. Values from VASP.

Output
The density of states at the Fermi level is 2.200 states/eV per cell. For the uncorrected formation energy, the calculation gives 1161 meV per atom. As for the volume: 17.03 Å³ per atom.

Structure (Quantum ESPRESSO input):
```
&SYSTEM
  ibrav = 0, nat = 4, ntyp = 3
/
ATOMIC_SPECIES
Te 127.60 Te.upf
Br 79.90 Br.upf
N 14.01 N.upf
CELL_PARAMETERS angstrom
1.7537 1.0125 6.3945
-1.7537 1.0125 6.3945
0.0000 -2.0250 6.3945
ATOMIC_POSITIONS crystal
Te 0.0000 0.0000 0.0000
Br 0.5000 0.5000 0.5000
N 0.3889 0.3889 0.3889
N 0.6111 0.6111 0.6111
```

---

This record from Alexandria via LeMat-Bulk describes CaZr2Nb after structural relaxation. The functional is PBE-GGA. Values from VASP.

Output
The energy is -0.253 hartree per atom. The density of states at the Fermi level is 5.529 states/eV per cell. As for the volume: 24.83 Å³ per atom.

Structure (Quantum ESPRESSO input):
```
&SYSTEM
  ibrav = 0, nat = 4, ntyp = 3
/
ATOMIC_SPECIES
Ca 40.08 Ca.upf
Zr 91.22 Zr.upf
Nb 92.91 Nb.upf
CELL_PARAMETERS angstrom
1.6183 0.9343 10.9468
-1.6183 0.9343 10.9468
0.0000 -1.8687 10.9468
ATOMIC_POSITIONS crystal
Ca 0.0000 0.0000 0.0000
Zr 0.0957 0.0957 0.0957
Zr 0.9043 0.9043 0.9043
Nb 0.5000 0.5000 0.5000
```

---

This record from Alexandria via LeMat-Bulk describes CuSbOsPt2 after structural relaxation. The functional is PBE-GGA. Values from VASP.

Output
The density of states at the Fermi level is 4.029 states/eV per cell. For the uncorrected formation energy, the calculation gives 1617 meV per atom. As for the volume: 22.16 Å³ per atom.

Structure (Quantum ESPRESSO input):
```
&SYSTEM
  ibrav = 0, nat = 5, ntyp = 4
/
ATOMIC_SPECIES
Cu 63.55 Cu.upf
Sb 121.76 Sb.upf
Os 190.23 Os.upf
Pt 195.08 Pt.upf
CELL_PARAMETERS angstrom
4.9219 0.0000 0.0000
0.0000 4.9219 0.0000
0.0000 0.0000 4.5729
ATOMIC_POSITIONS crystal
Cu 0.0000 0.0000 0.0000
Sb 0.0000 0.0000 0.5000
Os 0.5000 0.5000 0.0000
Pt 0.0000 0.5000 0.5000
Pt 0.5000 0.0000 0.5000
```

---

This record from Alexandria via LeMat-Bulk describes KReSb2 after structural relaxation. The functional is PBE-GGA. Values from VASP.

Output
The density of states at the Fermi level is 1.778 states/eV per cell. For the uncorrected formation energy, the calculation gives 194 meV per atom. As for the volume: 26.54 Å³ per atom.

Structure (Quantum ESPRESSO input):
```
&SYSTEM
  ibrav = 0, nat = 4, ntyp = 3
/
ATOMIC_SPECIES
K 39.10 K.upf
Re 186.21 Re.upf
Sb 121.76 Sb.upf
CELL_PARAMETERS angstrom
1.8235 1.0528 9.2169
-1.8235 1.0528 9.2169
0.0000 -2.1056 9.2169
ATOMIC_POSITIONS crystal
K 0.0000 0.0000 0.0000
Re 0.5000 0.5000 0.5000
Sb 0.2297 0.2297 0.2297
Sb 0.7703 0.7703 0.7703
```

---

This record from Alexandria via LeMat-Bulk describes TaIn2Pb after structural relaxation. The functional is PBE-GGA. Values from VASP.

Output
The energy is -0.182 hartree per atom. The density of states at the Fermi level is 3.117 states/eV per cell. As for the volume: 26.85 Å³ per atom.

Structure (Quantum ESPRESSO input):
```
&SYSTEM
  ibrav = 0, nat = 4, ntyp = 3
/
ATOMIC_SPECIES
Ta 180.95 Ta.upf
In 114.82 In.upf
Pb 207.20 Pb.upf
CELL_PARAMETERS angstrom
-1.5100 2.5082 7.0895
1.5100 -2.5082 7.0895
1.5100 2.5082 -7.0895
ATOMIC_POSITIONS crystal
Ta 0.0000 0.0000 0.0000
In 0.1786 0.6786 0.5000
In 0.5008 0.5008 0.0000
Pb 0.8108 0.3108 0.5000
```

---

This record from Alexandria via LeMat-Bulk describes Mg2Te after structural relaxation. The functional is PBE-GGA. Values from VASP.

Output
The density of states at the Fermi level is 2.547 states/eV per cell. For the uncorrected formation energy, the calculation gives -200 meV per atom. As for the volume: 31.43 Å³ per atom.

Structure (Quantum ESPRESSO input):
```
&SYSTEM
  ibrav = 0, nat = 12, ntyp = 2
/
ATOMIC_SPECIES
Mg 24.30 Mg.upf
Te 127.60 Te.upf
CELL_PARAMETERS angstrom
7.2254 0.0000 0.0000
0.0000 7.2254 0.0000
0.0000 0.0000 7.2254
ATOMIC_POSITIONS crystal
Mg 0.1147 0.1147 0.1147
Mg 0.1147 0.3853 0.6147
Mg 0.3853 0.6147 0.1147
Mg 0.3853 0.8853 0.6147
Mg 0.6147 0.1147 0.3853
Mg 0.6147 0.3853 0.8853
Mg 0.8853 0.6147 0.3853
Mg 0.8853 0.8853 0.8853
Te 0.0000 0.0000 0.5000
Te 0.0000 0.5000 0.0000
Te 0.5000 0.0000 0.0000
Te 0.5000 0.5000 0.5000
```

---

This record from Alexandria via LeMat-Bulk describes FeSiTeI2 after structural relaxation. The functional is PBE-GGA. Values from VASP.

Output
The density of states at the Fermi level is 9.270 states/eV per cell. For the uncorrected formation energy, the calculation gives 838 meV per atom. As for the volume: 32.52 Å³ per atom.

Structure (Quantum ESPRESSO input):
```
&SYSTEM
  ibrav = 0, nat = 5, ntyp = 4
/
ATOMIC_SPECIES
Fe 55.84 Fe.upf
Si 28.09 Si.upf
Te 127.60 Te.upf
I 126.90 I.upf
CELL_PARAMETERS angstrom
5.4612 0.0000 0.0000
0.0000 5.4612 0.0000
0.0000 0.0000 5.4521
ATOMIC_POSITIONS crystal
Fe 0.0000 0.0000 0.0000
Si 0.5000 0.5000 0.5000
Te 0.5000 0.5000 0.0000
I 0.0000 0.5000 0.5000
I 0.5000 0.0000 0.5000
```

---

What did the ninth record say?
This record from Alexandria via LeMat-Bulk describes Mg2Te after structural relaxation. The functional is PBE-GGA. Values from VASP.

Output
The density of states at the Fermi level is 2.547 states/eV per cell. For the uncorrected formation energy, the calculation gives -200 meV per atom. As for the volume: 31.43 Å³ per atom.

Structure (Quantum ESPRESSO input):
```
&SYSTEM
  ibrav = 0, nat = 12, ntyp = 2
/
ATOMIC_SPECIES
Mg 24.30 Mg.upf
Te 127.60 Te.upf
CELL_PARAMETERS angstrom
7.2254 0.0000 0.0000
0.0000 7.2254 0.0000
0.0000 0.0000 7.2254
ATOMIC_POSITIONS crystal
Mg 0.1147 0.1147 0.1147
Mg 0.1147 0.3853 0.6147
Mg 0.3853 0.6147 0.1147
Mg 0.3853 0.8853 0.6147
Mg 0.6147 0.1147 0.3853
Mg 0.6147 0.3853 0.8853
Mg 0.8853 0.6147 0.3853
Mg 0.8853 0.8853 0.8853
Te 0.0000 0.0000 0.5000
Te 0.0000 0.5000 0.0000
Te 0.5000 0.0000 0.0000
Te 0.5000 0.5000 0.5000
```